A geometry-optimized Ba4PbAu3 structure, computed with GGA-PBE.

Computed properties:
- Crystal system: orthorhombic
- Energy: -3.293 eV/atom

Unit cell a=4.661 b=5.066 c=12.413 alpha=90.00 beta=90.00 gamma=90.00
Space group Pmm2 (No. 25)
Unique sites:
Ba (0.000, 0.000, 0.000)
Ba (0.000, 0.500, 0.264)
Ba (0.500, 0.000, 0.485)
Ba (0.500, 0.500, 0.768)
Pb (0.000, 0.000, 0.707)
Au (0.000, 0.500, 0.543)
Au (0.500, 0.000, 0.206)
Au (0.500, 0.500, 0.057)